# 1
# PtCCl3 PBE optimized geometry
data_PtCCl3
_chemical_formula_sum 'Pt1 C1 Cl3'
_symmetry_space_group_name_H-M 'P m -3 m'
_symmetry_Int_Tables_number 221
_symmetry_space_group_name_Hall '-P 4 2 3'
_cell_length_a 4.409
_cell_length_b 4.409
_cell_length_c 4.409
_cell_angle_alpha 90.00
_cell_angle_beta 90.00
_cell_angle_gamma 90.00
loop_
_atom_site_label
_atom_site_type_symbol
_atom_site_fract_x
_atom_site_fract_y
_atom_site_fract_z
Pt1 Pt 0.000 0.000 0.000
C1 C 0.500 0.500 0.500
Cl1 Cl 0.000 0.500 0.500
# ΔE_f (raw): 1.47 eV per atom
# spin magnetization: 1.021 μB per cell
# E_tot: -13.47 eV per cell
# N(E_F): 4.966 states/eV/f.u.



# 2
# Pt3CCl PBE optimized geometry
data_Pt3CCl
_chemical_formula_sum 'Pt3 C1 Cl1'
_symmetry_space_group_name_H-M 'P m -3 m'
_symmetry_Int_Tables_number 221
_symmetry_space_group_name_Hall '-P 4 2 3'
_cell_length_a 4.241
_cell_length_b 4.241
_cell_length_c 4.241
_cell_angle_alpha 90.00
_cell_angle_beta 90.00
_cell_angle_gamma 90.00
loop_
_atom_site_label
_atom_site_type_symbol
_atom_site_fract_x
_atom_site_fract_y
_atom_site_fract_z
Pt1 Pt 0.000 0.000 0.500
C1 C 0.000 0.000 0.000
Cl1 Cl 0.500 0.500 0.500
# ΔE_f (raw): 0.71 eV per atom
# spin magnetization: 0.000 μB per cell
# E_tot: -25.63 eV per cell
# N(E_F): 1.879 states/eV/f.u.



Q: The highest N(E_F) belongs to which entry?
A: PtCCl3



Q: The lowest N(E_F) belongs to which entry?
A: Pt3CCl



Please write out number 2 again, unchanged.
# Pt3CCl PBE optimized geometry
data_Pt3CCl
_chemical_formula_sum 'Pt3 C1 Cl1'
_symmetry_space_group_name_H-M 'P m -3 m'
_symmetry_Int_Tables_number 221
_symmetry_space_group_name_Hall '-P 4 2 3'
_cell_length_a 4.241
_cell_length_b 4.241
_cell_length_c 4.241
_cell_angle_alpha 90.00
_cell_angle_beta 90.00
_cell_angle_gamma 90.00
loop_
_atom_site_label
_atom_site_type_symbol
_atom_site_fract_x
_atom_site_fract_y
_atom_site_fract_z
Pt1 Pt 0.000 0.000 0.500
C1 C 0.000 0.000 0.000
Cl1 Cl 0.500 0.500 0.500
# ΔE_f (raw): 0.71 eV per atom
# spin magnetization: 0.000 μB per cell
# E_tot: -25.63 eV per cell
# N(E_F): 1.879 states/eV/f.u.



Repeat the second record exactly.
# Pt3CCl PBE optimized geometry
data_Pt3CCl
_chemical_formula_sum 'Pt3 C1 Cl1'
_symmetry_space_group_name_H-M 'P m -3 m'
_symmetry_Int_Tables_number 221
_symmetry_space_group_name_Hall '-P 4 2 3'
_cell_length_a 4.241
_cell_length_b 4.241
_cell_length_c 4.241
_cell_angle_alpha 90.00
_cell_angle_beta 90.00
_cell_angle_gamma 90.00
loop_
_atom_site_label
_atom_site_type_symbol
_atom_site_fract_x
_atom_site_fract_y
_atom_site_fract_z
Pt1 Pt 0.000 0.000 0.500
C1 C 0.000 0.000 0.000
Cl1 Cl 0.500 0.500 0.500
# ΔE_f (raw): 0.71 eV per atom
# spin magnetization: 0.000 μB per cell
# E_tot: -25.63 eV per cell
# N(E_F): 1.879 states/eV/f.u.